! K2HgSeI (GGA-PBE, optimized geometry); values from VASP
&SYSTEM
  ibrav = 0, nat = 5, ntyp = 4
/
ATOMIC_SPECIES
K 39.10 K.upf
Hg 200.59 Hg.upf
Se 78.96 Se.upf
I 126.90 I.upf
CELL_PARAMETERS angstrom
6.273 0.000 0.000
0.000 6.273 0.000
0.000 0.000 6.051
ATOMIC_POSITIONS crystal
K 0.000 0.500 0.000
K 0.500 0.000 0.000
Hg 0.000 0.000 0.500
Se 0.500 0.500 0.000
I 0.500 0.500 0.500
! Crystal system   tetragonal
! Electronic total energy   -10.6 eV/cell
! Formation energy without anion corrections   -299 kJ/mol of formula units
! Relative energy among the computed polymorphs   0.3095 eV/atom